A plane-wave DFT calculation with GGA-PBE was carried out for a relaxed structure of As3Ir2.

Output
Crystal system: orthorhombic
Total magnetization in μB per formula unit: 0.00
V in Å³ per cell: 181.4
DOS(E_F) in states/eV/f.u.: 3.3
DFT total energy in eV for the cell shown: -62.77

a b c (Å): 8.1489 6.1983 9.8605
angles (deg): 55.50 38.82 85.69
Sites, in units of the cell vectors:
As 0.0000 0.0000 0.0000
As 0.0086 0.6590 0.7801
As 0.2500 0.2500 0.2500
As 0.4699 0.6977 0.2414
As 0.6590 0.0086 0.5523
As 0.6977 0.4699 0.5910
Ir 0.2108 0.4723 0.8807
Ir 0.3693 0.8137 0.0392
Ir 0.4723 0.2108 0.4363
Ir 0.8137 0.3693 0.7777

=====

A plane-wave DFT calculation with GGA-PBE was carried out for a relaxed structure of AsIr5.

Output
Crystal system: cubic
Total magnetization in μB per formula unit: 0.00
V in Å³ per cell: 98.3
DOS(E_F) in states/eV/f.u.: 13.0
DFT total energy in eV for the cell shown: -44.18

a b c (Å): 5.1811 5.1811 5.1811
angles (deg): 60.00 60.00 60.00
Sites, in units of the cell vectors:
As 0.0000 0.0000 0.0000
Ir 0.3756 0.3756 0.3756
Ir 0.3756 0.3756 0.8732
Ir 0.3756 0.8732 0.3756
Ir 0.7500 0.7500 0.7500
Ir 0.8732 0.3756 0.3756

=====

A plane-wave DFT calculation with GGA-PBE was carried out for a relaxed structure of AsIr.

Output
Crystal system: orthorhombic
Total magnetization in μB per formula unit: 0.00
V in Å³ per cell: 62.9
DOS(E_F) in states/eV/f.u.: 1.0
DFT total energy in eV for the cell shown: -27.03

a b c (Å): 3.0779 4.7276 4.3210
angles (deg): 90.00 90.00 90.00
Sites, in units of the cell vectors:
As 0.2500 0.2500 0.1442
As 0.7500 0.7500 0.8558
Ir 0.2500 0.7500 0.3531
Ir 0.7500 0.2500 0.6469

=====

A plane-wave DFT calculation with GGA-PBE was carried out for a relaxed structure of As3Ir5.

Output
Crystal system: orthorhombic
Total magnetization in μB per formula unit: 0.00
V in Å³ per cell: 122.6
ΔE to the lowest computed polymorph in kJ/mol of formula units: 82
DOS(E_F) in states/eV/f.u.: 8.1
DFT total energy in eV for the cell shown: -56.49

a b c (Å): 5.6119 5.6119 3.9453
angles (deg): 90.00 90.00 99.34
Sites, in units of the cell vectors:
As 0.0000 0.0000 0.0000
As 0.2991 0.7009 0.5000
As 0.7009 0.2991 0.5000
Ir 0.0000 0.5000 0.0000
Ir 0.2188 0.2188 0.5000
Ir 0.5000 0.0000 0.0000
Ir 0.5000 0.5000 0.0000
Ir 0.7812 0.7812 0.5000

=====

A plane-wave DFT calculation with GGA-PBE was carried out for a relaxed structure of AsIr.

Output
Crystal system: orthorhombic
Total magnetization in μB per formula unit: 0.00
V in Å³ per cell: 67.6
DOS(E_F) in states/eV/f.u.: 0.5
DFT total energy in eV for the cell shown: -27.70

a b c (Å): 4.4783 4.4783 5.3506
angles (deg): 90.00 90.00 140.94
Sites, in units of the cell vectors:
As 0.1597 0.8403 0.5000
As 0.8403 0.1597 0.0000
Ir 0.4381 0.5619 0.3465
Ir 0.5619 0.4381 0.8465

=====

A plane-wave DFT calculation with GGA-PBE was carried out for a relaxed structure of As3Ir.

Output
Crystal system: orthorhombic
Total magnetization in μB per formula unit: 0.00
V in Å³ per cell: 186.5
ΔE to the lowest computed polymorph in kJ/mol of formula units: 198
DOS(E_F) in states/eV/f.u.: 1.7
DFT total energy in eV for the cell shown: -44.93

a b c (Å): 7.1385 7.1385 3.7760
angles (deg): 90.00 90.00 75.79
Sites, in units of the cell vectors:
As 0.1474 0.8526 0.7500
As 0.1979 0.5005 0.7500
As 0.5005 0.1979 0.2500
As 0.4995 0.8021 0.7500
As 0.8021 0.4995 0.2500
As 0.8526 0.1474 0.2500
Ir 0.3886 0.6114 0.2500
Ir 0.6114 0.3886 0.7500

=====

A plane-wave DFT calculation with GGA-PBE was carried out for a relaxed structure of AsIr.

Output
Crystal system: orthorhombic
Total magnetization in μB per formula unit: 0.00
V in Å³ per cell: 220.9
DOS(E_F) in states/eV/f.u.: 1.0
DFT total energy in eV for the cell shown: -81.58

a b c (Å): 10.4754 3.7910 5.5628
angles (deg): 90.00 90.00 90.00
Sites, in units of the cell vectors:
As 0.0000 0.0491 0.0000
As 0.1669 0.4652 0.5695
As 0.3331 0.5348 0.0695
As 0.5000 0.9509 0.5000
As 0.6669 0.5348 0.0695
As 0.8331 0.4652 0.5695
Ir 0.0000 0.5471 0.2790
Ir 0.2143 0.0430 0.2191
Ir 0.2857 0.9570 0.7191
Ir 0.5000 0.4529 0.7790
Ir 0.7143 0.9570 0.7191
Ir 0.7857 0.0430 0.2191

=====

A plane-wave DFT calculation with GGA-PBE was carried out for a relaxed structure of AsIr.

Output
Crystal system: orthorhombic
Total magnetization in μB per formula unit: 0.00
V in Å³ per cell: 261.0
DOS(E_F) in states/eV/f.u.: 1.0
DFT total energy in eV for the cell shown: -80.55

a b c (Å): 3.8172 12.7577 5.3590
angles (deg): 90.00 90.00 90.00
Sites, in units of the cell vectors:
As 0.2500 0.1060 0.2083
As 0.2500 0.3940 0.2083
As 0.2500 0.7500 0.2371
As 0.7500 0.2500 0.7629
As 0.7500 0.6060 0.7917
As 0.7500 0.8940 0.7917
Ir 0.2500 0.2500 0.4915
Ir 0.2500 0.5800 0.0535
Ir 0.2500 0.9200 0.0535
Ir 0.7500 0.0800 0.9465
Ir 0.7500 0.4200 0.9465
Ir 0.7500 0.7500 0.5085

=====

A plane-wave DFT calculation with GGA-PBE was carried out for a relaxed structure of As3Ir2.

Output
Crystal system: trigonal
Total magnetization in μB per formula unit: 0.00
V in Å³ per cell: 89.3
DOS(E_F) in states/eV/f.u.: 3.9
DFT total energy in eV for the cell shown: -31.44

a b c (Å): 4.1156 4.1156 6.0897
angles (deg): 90.00 90.00 120.00
Sites, in units of the cell vectors:
As 0.0000 0.0000 0.0000
As 0.3333 0.6667 0.3565
As 0.6667 0.3333 0.6435
Ir 0.3333 0.6667 0.7792
Ir 0.6667 0.3333 0.2208

=====

A plane-wave DFT calculation with GGA-PBE was carried out for a relaxed structure of AsIr.

Output
Crystal system: trigonal
Total magnetization in μB per formula unit: 0.00
V in Å³ per cell: 89.2
DOS(E_F) in states/eV/f.u.: 1.4
DFT total energy in eV for the cell shown: -26.63

a b c (Å): 7.2786 7.2786 7.2786
angles (deg): 30.71 30.71 30.71
Sites, in units of the cell vectors:
As 0.0819 0.0819 0.0819
As 0.9181 0.9181 0.9181
Ir 0.3778 0.3778 0.3778
Ir 0.6222 0.6222 0.6222

=====

A plane-wave DFT calculation with GGA-PBE was carried out for a relaxed structure of AsIr5.

Output
Crystal system: orthorhombic
Total magnetization in μB per formula unit: 0.00
V in Å³ per cell: 88.9
DOS(E_F) in states/eV/f.u.: 5.7
DFT total energy in eV for the cell shown: -47.61

a b c (Å): 6.2062 6.2062 3.7392
angles (deg): 90.00 90.00 141.87
Sites, in units of the cell vectors:
As 0.0000 0.0000 0.0000
Ir 0.1571 0.8429 0.5000
Ir 0.3250 0.6750 0.0000
Ir 0.5000 0.5000 0.5000
Ir 0.6750 0.3250 0.0000
Ir 0.8429 0.1571 0.5000

=====

A plane-wave DFT calculation with GGA-PBE was carried out for a relaxed structure of AsIr.

Output
Crystal system: orthorhombic
Total magnetization in μB per formula unit: 0.00
V in Å³ per cell: 70.4
DOS(E_F) in states/eV/f.u.: 0.0
DFT total energy in eV for the cell shown: -27.50

a b c (Å): 3.6264 4.5884 4.2295
angles (deg): 90.00 90.00 90.00
Sites, in units of the cell vectors:
As 0.0000 0.1506 0.0000
As 0.5000 0.8494 0.5000
Ir 0.0000 0.6386 0.1971
Ir 0.5000 0.3614 0.6971

=====

A plane-wave DFT calculation with GGA-PBE was carried out for a relaxed structure of As3Ir.

Output
Crystal system: hexagonal
Total magnetization in μB per formula unit: 0.00
V in Å³ per cell: 155.9
ΔE to the lowest computed polymorph in kJ/mol of formula units: 214
DOS(E_F) in states/eV/f.u.: 2.6
DFT total energy in eV for the cell shown: -44.61

a b c (Å): 7.6366 7.6366 3.0868
angles (deg): 90.00 90.00 120.00
Sites, in units of the cell vectors:
As 0.1806 0.3611 0.2500
As 0.1806 0.8194 0.2500
As 0.3611 0.1806 0.7500
As 0.6389 0.8194 0.2500
As 0.8194 0.1806 0.7500
As 0.8194 0.6389 0.7500
Ir 0.3333 0.6667 0.7500
Ir 0.6667 0.3333 0.2500

=====

A plane-wave DFT calculation with GGA-PBE was carried out for a relaxed structure of As3Ir.

Output
Crystal system: cubic
Total magnetization in μB per formula unit: 0.00
V in Å³ per cell: 69.6
ΔE to the lowest computed polymorph in kJ/mol of formula units: 350
DOS(E_F) in states/eV/f.u.: 1.2
DFT total energy in eV for the cell shown: -20.89

a b c (Å): 4.1133 4.1133 4.1133
angles (deg): 90.00 90.00 90.00
Sites, in units of the cell vectors:
As 0.0000 0.0000 0.5000
As 0.0000 0.5000 0.0000
As 0.5000 0.0000 0.0000
Ir 0.5000 0.5000 0.5000

=====

A plane-wave DFT calculation with GGA-PBE was carried out for a relaxed structure of AsIr.

Output
Crystal system: cubic
Total magnetization in μB per formula unit: 0.00
V in Å³ per cell: 128.1
DOS(E_F) in states/eV/f.u.: 1.0
DFT total energy in eV for the cell shown: -54.13

a b c (Å): 5.0404 5.0404 5.0404
angles (deg): 90.00 90.00 90.00
Sites, in units of the cell vectors:
As 0.0641 0.4359 0.5641
As 0.4359 0.5641 0.0641
As 0.5641 0.0641 0.4359
As 0.9359 0.9359 0.9359
Ir 0.0586 0.9414 0.4414
Ir 0.4414 0.0586 0.9414
Ir 0.5586 0.5586 0.5586
Ir 0.9414 0.4414 0.0586

=====

A plane-wave DFT calculation with GGA-PBE was carried out for a relaxed structure of As3Ir.

Output
Crystal system: hexagonal
Total magnetization in μB per formula unit: 0.00
V in Å³ per cell: 284.0
ΔE to the lowest computed polymorph in kJ/mol of formula units: 338
DOS(E_F) in states/eV/f.u.: 1.9
DFT total energy in eV for the cell shown: -84.07

a b c (Å): 6.1487 6.1487 8.6755
angles (deg): 90.00 90.00 120.00
Sites, in units of the cell vectors:
As 0.0000 0.5000 0.0000
As 0.0000 0.5000 0.5000
As 0.1486 0.2972 0.2500
As 0.1486 0.8514 0.2500
As 0.2972 0.1486 0.7500
As 0.5000 0.0000 0.0000
As 0.5000 0.0000 0.5000
As 0.5000 0.5000 0.0000
As 0.5000 0.5000 0.5000
As 0.7028 0.8514 0.2500
As 0.8514 0.1486 0.7500
As 0.8514 0.7028 0.7500
Ir 0.0000 0.0000 0.0000
Ir 0.0000 0.0000 0.5000
Ir 0.3333 0.6667 0.7500
Ir 0.6667 0.3333 0.2500

=====

A plane-wave DFT calculation with GGA-PBE was carried out for a relaxed structure of As3Ir.

Output
Crystal system: cubic
Total magnetization in μB per formula unit: 0.00
V in Å³ per cell: 317.3
ΔE to the lowest computed polymorph in kJ/mol of formula units: 0
DOS(E_F) in states/eV/f.u.: 0.1
DFT total energy in eV for the cell shown: -98.09

a b c (Å): 7.4422 7.4422 7.4422
angles (deg): 109.47 109.47 109.47
Sites, in units of the cell vectors:
As 0.1459 0.4939 0.3480
As 0.1459 0.7980 0.6520
As 0.2020 0.3480 0.8541
As 0.3480 0.1459 0.4939
As 0.3480 0.8541 0.2020
As 0.4939 0.3480 0.1459
As 0.5061 0.6520 0.8541
As 0.6520 0.1459 0.7980
As 0.6520 0.8541 0.5061
As 0.7980 0.6520 0.1459
As 0.8541 0.2020 0.3480
As 0.8541 0.5061 0.6520
Ir 0.0000 0.0000 0.5000
Ir 0.0000 0.5000 0.0000
Ir 0.5000 0.0000 0.0000
Ir 0.5000 0.5000 0.5000

=====

A plane-wave DFT calculation with GGA-PBE was carried out for a relaxed structure of As5Ir.

Output
Crystal system: orthorhombic
Total magnetization in μB per formula unit: 0.00
V in Å³ per cell: 125.6
ΔE to the lowest computed polymorph in kJ/mol of formula units: 0
DOS(E_F) in states/eV/f.u.: 1.9
DFT total energy in eV for the cell shown: -32.03

a b c (Å): 4.9192 6.9126 6.9126
angles (deg): 32.30 90.00 90.00
Sites, in units of the cell vectors:
As 0.0000 0.0000 0.0000
As 0.0000 0.2398 0.2398
As 0.5000 0.3024 0.3024
As 0.5000 0.6422 0.6422
As 0.5000 0.9307 0.9307
Ir 0.0000 0.6190 0.6190

=====

A plane-wave DFT calculation with GGA-PBE was carried out for a relaxed structure of AsIr.

Output
Crystal system: tetragonal
Total magnetization in μB per formula unit: 0.00
V in Å³ per cell: 424.8
DOS(E_F) in states/eV/f.u.: 1.0
DFT total energy in eV for the cell shown: -107.73

a b c (Å): 10.6421 10.6421 3.7506
angles (deg): 90.00 90.00 90.00
Sites, in units of the cell vectors:
As 0.0857 0.6717 0.0000
As 0.2400 0.3666 0.5000
As 0.3283 0.0857 0.0000
As 0.3666 0.7600 0.5000
As 0.6334 0.2400 0.5000
As 0.6717 0.9143 0.0000
As 0.7600 0.6334 0.5000
As 0.9143 0.3283 0.0000
Ir 0.1152 0.4332 0.0000
Ir 0.2094 0.6014 0.5000
Ir 0.3986 0.2094 0.5000
Ir 0.4332 0.8848 0.0000
Ir 0.5668 0.1152 0.0000
Ir 0.6014 0.7906 0.5000
Ir 0.7906 0.3986 0.5000
Ir 0.8848 0.5668 0.0000

=====

A plane-wave DFT calculation with GGA-PBE was carried out for a relaxed structure of AsIr.

Output
Crystal system: trigonal
Total magnetization in μB per formula unit: 0.00
V in Å³ per cell: 65.0
DOS(E_F) in states/eV/f.u.: 2.0
DFT total energy in eV for the cell shown: -24.75

a b c (Å): 4.4913 4.4913 4.4913
angles (deg): 60.62 60.62 60.62
Sites, in units of the cell vectors:
As 0.1348 0.1348 0.1348
As 0.8652 0.8652 0.8652
Ir 0.3708 0.3708 0.3708
Ir 0.6292 0.6292 0.6292